1.
# ErThMnTc, relaxed, DFT PBE
# E_tot   -7.83 eV per atom
data_ErThMnTc
_chemical_formula_sum 'Er4 Th4 Mn4 Tc4'
_cell_length_a 7.008
_cell_length_b 7.008
_cell_length_c 7.008
_cell_angle_alpha 90.00
_cell_angle_beta 90.00
_cell_angle_gamma 90.00
_symmetry_space_group_name_H-M 'F -4 3 m'
_symmetry_Int_Tables_number 216
_symmetry_space_group_name_Hall 'F -4 2 3'
loop_
_atom_site_label
_atom_site_fract_x
_atom_site_fract_y
_atom_site_fract_z
Er1 0.000 0.000 0.000
Th1 0.000 0.000 0.500
Mn1 0.250 0.250 0.750
Tc1 0.250 0.250 0.250

***

2.
# La2RePb, relaxed, DFT PBE
# E_tot   -6.25 eV per atom
data_La2RePb
_chemical_formula_sum 'La6 Re3 Pb3'
_cell_length_a 3.5915
_cell_length_b 3.5915
_cell_length_c 30.7326
_cell_angle_alpha 90.00
_cell_angle_beta 90.00
_cell_angle_gamma 120.00
_symmetry_space_group_name_H-M 'R -3 m'
_symmetry_Int_Tables_number 166
_symmetry_space_group_name_Hall '-R 3 2"'
loop_
_atom_site_label
_atom_site_fract_x
_atom_site_fract_y
_atom_site_fract_z
La1 0.0000 0.0000 0.2366
Re1 0.0000 0.0000 0.5000
Pb1 0.0000 0.0000 0.0000

***

3.
# Tl2CuHgBr, relaxed, DFT PBE
# Uncorrected formation energy   -3.9 kcal/mol of atoms
data_Tl2CuHgBr
_chemical_formula_sum 'Tl2 Cu1 Hg1 Br1'
_cell_length_a 5.452
_cell_length_b 5.452
_cell_length_c 5.082
_cell_angle_alpha 90.00
_cell_angle_beta 90.00
_cell_angle_gamma 90.00
_symmetry_space_group_name_H-M 'P 4/m m m'
_symmetry_Int_Tables_number 123
_symmetry_space_group_name_Hall '-P 4 2'
loop_
_atom_site_label
_atom_site_fract_x
_atom_site_fract_y
_atom_site_fract_z
Tl1 0.000 0.500 0.000
Cu1 0.000 0.000 0.000
Hg1 0.000 0.000 0.500
Br1 0.500 0.500 0.500

***

4.
# La3PrHg, relaxed, DFT PBE
# E_tot   -4.17 eV per atom
data_La3PrHg
_chemical_formula_sum 'La6 Pr2 Hg2'
_cell_length_a 3.844
_cell_length_b 8.975
_cell_length_c 10.228
_cell_angle_alpha 77.38
_cell_angle_beta 79.19
_cell_angle_gamma 89.97
_symmetry_space_group_name_H-M 'P -1'
_symmetry_Int_Tables_number 2
_symmetry_space_group_name_Hall '-P 1'
loop_
_atom_site_label
_atom_site_fract_x
_atom_site_fract_y
_atom_site_fract_z
La1 0.003 0.292 0.493
La2 0.189 0.376 0.125
La3 0.204 0.836 0.092
Pr1 0.405 0.966 0.685
Hg1 0.393 0.421 0.714

***

5.
# SbPbAu2, relaxed, DFT PBE
# Uncorrected formation energy   -1.2 kcal/mol of atoms
data_SbPbAu2
_chemical_formula_sum 'Sb2 Pb2 Au4'
_cell_length_a 7.864
_cell_length_b 4.155
_cell_length_c 6.504
_cell_angle_alpha 90.00
_cell_angle_beta 109.21
_cell_angle_gamma 90.00
_symmetry_space_group_name_H-M 'C 1 2/m 1'
_symmetry_Int_Tables_number 12
_symmetry_space_group_name_Hall '-C 2y'
loop_
_atom_site_label
_atom_site_fract_x
_atom_site_fract_y
_atom_site_fract_z
Sb1 0.000 0.000 0.000
Pb1 0.000 0.500 0.500
Au1 0.241 0.500 0.219

***

6.
# KInGa3, relaxed, DFT PBE
# Relative energy among the computed polymorphs   0.0 meV/atom
data_KInGa3
_chemical_formula_sum 'K2 In2 Ga6'
_cell_length_a 6.431
_cell_length_b 6.424
_cell_length_c 6.780
_cell_angle_alpha 90.00
_cell_angle_beta 118.18
_cell_angle_gamma 90.00
_symmetry_space_group_name_H-M 'C 1 m 1'
_symmetry_Int_Tables_number 8
_symmetry_space_group_name_Hall 'C -2y'
loop_
_atom_site_label
_atom_site_fract_x
_atom_site_fract_y
_atom_site_fract_z
K1 0.000 0.000 0.000
In1 0.382 0.000 0.765
Ga1 0.116 0.500 0.232
Ga2 0.486 0.250 0.473

***

7.
# Hg2Os2Br, relaxed, DFT PBE
# Uncorrected formation energy   18.6 kcal/mol of atoms
data_Hg2Os2Br
_chemical_formula_sum 'Hg4 Os4 Br2'
_cell_length_a 3.583
_cell_length_b 3.583
_cell_length_c 17.498
_cell_angle_alpha 90.00
_cell_angle_beta 90.00
_cell_angle_gamma 90.00
_symmetry_space_group_name_H-M 'I 4/m m m'
_symmetry_Int_Tables_number 139
_symmetry_space_group_name_Hall '-I 4 2'
loop_
_atom_site_label
_atom_site_fract_x
_atom_site_fract_y
_atom_site_fract_z
Hg1 0.000 0.000 0.115
Os1 0.000 0.500 0.250
Br1 0.000 0.000 0.500

***

8.
# MgHgSb2, relaxed, DFT PBE
# Uncorrected formation energy   0.5 kcal/mol of atoms
# Relative energy among the computed polymorphs   63.1 meV/atom
data_MgHgSb2
_chemical_formula_sum 'Mg3 Hg3 Sb6'
_cell_length_a 3.4324
_cell_length_b 3.4324
_cell_length_c 31.0604
_cell_angle_alpha 90.00
_cell_angle_beta 90.00
_cell_angle_gamma 120.00
_symmetry_space_group_name_H-M 'R -3 m'
_symmetry_Int_Tables_number 166
_symmetry_space_group_name_Hall '-R 3 2"'
loop_
_atom_site_label
_atom_site_fract_x
_atom_site_fract_y
_atom_site_fract_z
Mg1 0.0000 0.0000 0.0000
Hg1 0.0000 0.0000 0.5000
Sb1 0.0000 0.0000 0.2583

***

9.
# SbRhF2, relaxed, DFT PBE
# Uncorrected formation energy   -14.6 kcal/mol of atoms
# Relative energy among the computed polymorphs   376.5 meV/atom
data_SbRhF2
_chemical_formula_sum 'Sb3 Rh3 F6'
_cell_length_a 3.1865
_cell_length_b 3.1865
_cell_length_c 23.2290
_cell_angle_alpha 90.00
_cell_angle_beta 90.00
_cell_angle_gamma 120.00
_symmetry_space_group_name_H-M 'R -3 m'
_symmetry_Int_Tables_number 166
_symmetry_space_group_name_Hall '-R 3 2"'
loop_
_atom_site_label
_atom_site_fract_x
_atom_site_fract_y
_atom_site_fract_z
Sb1 0.0000 0.0000 0.0000
Rh1 0.0000 0.0000 0.5000
F1 0.0000 0.0000 0.0981

***

10.
# MnOsPt2, relaxed, DFT PBE
# E_tot   -8.12 eV per atom
data_MnOsPt2
_chemical_formula_sum 'Mn2 Os2 Pt4'
_cell_length_a 9.069
_cell_length_b 2.792
_cell_length_c 4.732
_cell_angle_alpha 90.00
_cell_angle_beta 100.00
_cell_angle_gamma 90.00
_symmetry_space_group_name_H-M 'C 1 2/m 1'
_symmetry_Int_Tables_number 12
_symmetry_space_group_name_Hall '-C 2y'
loop_
_atom_site_label
_atom_site_fract_x
_atom_site_fract_y
_atom_site_fract_z
Mn1 0.000 0.000 0.000
Os1 0.000 0.500 0.500
Pt1 0.248 0.000 0.747

***

11.
# Pm6SmDy3Y2, relaxed, DFT PBE
# E_tot   -4.98 eV per atom
data_Pm6SmDy3Y2
_chemical_formula_sum 'Pm12 Sm2 Dy6 Y4'
_cell_length_a 6.263
_cell_length_b 10.846
_cell_length_c 11.906
_cell_angle_alpha 90.00
_cell_angle_beta 100.07
_cell_angle_gamma 90.00
_symmetry_space_group_name_H-M 'C 1 2/m 1'
_symmetry_Int_Tables_number 12
_symmetry_space_group_name_Hall '-C 2y'
loop_
_atom_site_label
_atom_site_fract_x
_atom_site_fract_y
_atom_site_fract_z
Pm1 0.249 0.000 0.249
Pm2 0.249 0.333 0.248
Sm1 0.000 0.000 0.500
Dy1 0.000 0.167 0.000
Dy2 0.000 0.500 0.000
Y1 0.000 0.333 0.500

***

12.
# UMnCu2S6, relaxed, DFT PBE
# Uncorrected formation energy   -12.9 kcal/mol of atoms
data_UMnCu2S6
_chemical_formula_sum 'U1 Mn1 Cu2 S6'
_cell_length_a 6.101
_cell_length_b 6.111
_cell_length_c 6.770
_cell_angle_alpha 63.44
_cell_angle_beta 63.27
_cell_angle_gamma 60.13
_symmetry_space_group_name_H-M 'P 1'
_symmetry_Int_Tables_number 1
_symmetry_space_group_name_Hall 'P 1'
loop_
_atom_site_label
_atom_site_fract_x
_atom_site_fract_y
_atom_site_fract_z
U1 0.000 0.000 0.000
Mn1 0.500 0.500 0.500
Cu1 0.315 0.317 0.052
Cu2 0.822 0.818 0.543
S1 0.102 0.423 0.753
S2 0.239 0.901 0.278
S3 0.425 0.726 0.750
S4 0.582 0.242 0.275
S5 0.727 0.102 0.749
S6 0.900 0.583 0.277

***

13.
# Ce2Pm3HoSe6, relaxed, DFT PBE
# Uncorrected formation energy   -41.9 kcal/mol of atoms
data_Ce2Pm3HoSe6
_chemical_formula_sum 'Ce4 Pm6 Ho2 Se12'
_cell_length_a 7.219
_cell_length_b 12.523
_cell_length_c 7.243
_cell_angle_alpha 90.00
_cell_angle_beta 109.51
_cell_angle_gamma 90.00
_symmetry_space_group_name_H-M 'C 1 2/m 1'
_symmetry_Int_Tables_number 12
_symmetry_space_group_name_Hall '-C 2y'
loop_
_atom_site_label
_atom_site_fract_x
_atom_site_fract_y
_atom_site_fract_z
Ce1 0.000 0.166 0.000
Pm1 0.000 0.000 0.500
Pm2 0.000 0.332 0.500
Ho1 0.000 0.500 0.000
Se1 0.244 0.500 0.753
Se2 0.245 0.337 0.245